Density functional theory data (GGA-PBE) for a geometry-optimized Nd2DyGa2Ag2 structure.

* final energy: -4.074 eV per atom
* calculated formation energy: -375 meV/atom

Cell: 4.6325 4.6325 27.5823 Å, 90.00 90.00 120.00°
Space group R-3m (No. 166, hexagonal axes)
Symmetry-distinct sites (fractional):
Nd 0.0000 0.0000 0.1247 [6 per cell]
Dy 0.0000 0.0000 0.0000 [3 per cell]
Ga 0.0000 0.0000 0.2641 [6 per cell]
Ag 0.0000 0.0000 0.3918 [6 per cell]